No. 1
# Te2RhNF

An optimized crystal structure of Te2RhNF (PBE, Alexandria via LeMat-Bulk).

POSCAR file:
```
Te2RhNF
1.0
4.842 0.000 0.000
0.000 4.842 0.000
0.000 0.000 3.721
Te Rh N F
2 1 1 1
Direct
0.000 0.500 0.000
0.500 0.000 0.000
0.000 0.000 0.500
0.500 0.500 0.500
0.500 0.500 0.000
```

Output
raw formation energy = 1.11 eV per atom
distance to the lowest polymorph of the same formula = 879 meV per atom
D(E_F) = 2.701 states/eV per cell

=====

No. 2
# FeMoP2

An optimized crystal structure of FeMoP2 (PBE, Alexandria via LeMat-Bulk).

POSCAR file:
```
FeMoP2
1.0
3.402 0.000 0.000
0.000 3.402 0.000
0.000 0.000 8.873
Fe Mo P
2 2 4
Direct
0.000 0.000 0.000
0.500 0.500 0.500
0.000 0.500 0.750
0.500 0.000 0.250
0.000 0.000 0.500
0.000 0.500 0.250
0.500 0.000 0.750
0.500 0.500 0.000
```

Output
raw total energy = -7.50 eV/atom
D(E_F) = 6.235 states/eV per cell